[1]
Here is crystalline PBr2O at its relaxed geometry from Alexandria via LeMat-Bulk. Energies are from PBE.

Structure (extended XYZ):
```
8
Lattice="6.685 0.000 0.000 0.000 6.685 0.000 3.343 3.343 3.616" Properties=species:S:1:pos:R:3 pbc="T T T"
P 0.000 0.000 0.000
P 6.685 3.343 1.808
O 3.343 3.343 0.000
O 3.343 6.685 1.808
Br 4.981 1.671 0.904
Br 1.704 5.014 0.904
Br 5.014 5.047 2.712
Br 8.357 8.324 2.712
```

Computed properties:
For the electronic total energy, the calculation gives -2.617 eV/atom. Its formation energy (no corrections) is 811 meV/atom. The calculation puts the magnetization at 0.00 μB per atom. Its energy above the most stable polymorph in this dataset is 167 meV per atom. The space group is I-42d (122). Its crystal system is tetragonal.

---

[2]
Here is crystalline Y2TaZn2 at its relaxed geometry from Alexandria via LeMat-Bulk. Energies are from PBE.

Structure (extended XYZ):
```
10
Lattice="7.959 0.000 0.000 0.000 7.959 0.000 0.000 0.000 3.447" Properties=species:S:1:pos:R:3 pbc="T T T"
Y 1.448 5.427 1.723
Y 5.427 6.512 1.723
Y 6.512 2.532 1.723
Y 2.532 1.448 1.723
Zn 3.046 7.026 0.000
Zn 7.026 4.913 0.000
Zn 4.913 0.934 0.000
Zn 0.934 3.046 0.000
Ta 0.000 0.000 0.000
Ta 3.980 3.980 0.000
```

Computed properties:
For the electronic total energy, the calculation gives -5.365 eV/atom. The calculation puts the magnetization at 0.00 μB per atom. The value obtained for the energy of formation is 0.101 eV per atom. The space group is P4/mbm (127). Its crystal system is tetragonal.

---

[3]
Here is crystalline UPaMn at its relaxed geometry from Alexandria via LeMat-Bulk. Energies are from PBE.

Structure (extended XYZ):
```
3
Lattice="3.733 0.000 0.000 0.000 4.223 0.000 0.000 -2.111 3.657" Properties=species:S:1:pos:R:3 pbc="T T T"
Pa 2.447 2.111 1.219
U 0.055 0.000 0.000
Mn 1.231 0.000 2.438
```

Computed properties:
For the electronic total energy, the calculation gives -9.836 eV/atom. The calculation puts the magnetization at 0.00 μB per atom. The value obtained for the energy of formation is 0.149 eV per atom. Its energy above the most stable polymorph in this dataset is 77 meV per atom. The space group is P3m1 (156). Its crystal system is trigonal.

---

> Which formula does entry 2 have?

Y2TaZn2

---

> Number 3 is which compound?

UPaMn

---

> Among the records above, which one has the highest electronic total energy?

PBr2O